Entry from Alexandria via LeMat-Bulk: a relaxed structure of LiCaBiPd (PBE).

Structure (CIF):
```
data_LiCaBiPd
_cell_length_a 6.953
_cell_length_b 6.953
_cell_length_c 6.953
_cell_angle_alpha 90.00
_cell_angle_beta 90.00
_cell_angle_gamma 90.00
_space_group_name_H-M_alt 'F -4 3 m'
_space_group_IT_number 216
_space_group_name_Hall 'F -4 2 3'
loop_
_atom_site_label
_atom_site_type_symbol
_atom_site_fract_x
_atom_site_fract_y
_atom_site_fract_z
_atom_site_occupancy
Li1 Li 0.000 0.000 0.000 1
Ca1 Ca 0.250 0.250 0.250 1
Bi1 Bi 0.250 0.250 0.750 1
Pd1 Pd 0.000 0.000 0.500 1
```

Summary:
DFT formation energy   -0.65 eV/atom
DFT total energy   -15.58 eV per formula unit
Size of the total moment   0.0 μB per cell


Entry from Alexandria via LeMat-Bulk: a relaxed structure of La2ErLu (PBE).

Structure (CIF):
```
data_La2ErLu
_cell_length_a 5.246
_cell_length_b 5.246
_cell_length_c 4.847
_cell_angle_alpha 90.00
_cell_angle_beta 90.00
_cell_angle_gamma 90.00
_space_group_name_H-M_alt 'P 4/m m m'
_space_group_IT_number 123
_space_group_name_Hall '-P 4 2'
loop_
_atom_site_label
_atom_site_type_symbol
_atom_site_fract_x
_atom_site_fract_y
_atom_site_fract_z
_atom_site_occupancy
La1 La 0.000 0.500 0.000 1
Er1 Er 0.000 0.000 0.500 1
Lu1 Lu 0.500 0.500 0.500 1
```

Summary:
DFT formation energy   0.03 eV/atom
DFT total energy   -18.83 eV per formula unit
Size of the total moment   0.0 μB per cell


Entry from Alexandria via LeMat-Bulk: a relaxed structure of BaThIn2Cl8 (PBE).

Structure (CIF):
```
data_BaThIn2Cl8
_cell_length_a 4.967
_cell_length_b 10.092
_cell_length_c 7.692
_cell_angle_alpha 90.00
_cell_angle_beta 90.12
_cell_angle_gamma 90.00
_space_group_name_H-M_alt 'P 1 2/m 1'
_space_group_IT_number 10
_space_group_name_Hall '-P 2y'
loop_
_atom_site_label
_atom_site_type_symbol
_atom_site_fract_x
_atom_site_fract_y
_atom_site_fract_z
_atom_site_occupancy
Ba1 Ba 0.000 0.000 0.000 1
Th1 Th 0.000 0.500 0.000 1
In1 In 0.500 0.241 0.500 1
Cl1 Cl 0.000 0.281 0.218 1
Cl2 Cl 0.499 0.000 0.750 1
Cl3 Cl 0.500 0.500 0.202 1
```

Summary:
Uncorrected formation energy   -1.799 eV/atom
DFT total energy   -51.18 eV per formula unit
Size of the total moment   0.0 μB per cell


Entry from Alexandria via LeMat-Bulk: a relaxed structure of AlAgPb (PBE).

Structure (CIF):
```
data_AlAgPb
_cell_length_a 9.756
_cell_length_b 5.658
_cell_length_c 5.891
_cell_angle_alpha 90.00
_cell_angle_beta 125.58
_cell_angle_gamma 90.00
_space_group_name_H-M_alt 'C 1 2/m 1'
_space_group_IT_number 12
_space_group_name_Hall '-C 2y'
loop_
_atom_site_label
_atom_site_type_symbol
_atom_site_fract_x
_atom_site_fract_y
_atom_site_fract_z
_atom_site_occupancy
Al1 Al 0.250 0.250 0.000 1
Ag1 Ag 0.000 0.000 0.000 1
Ag2 Ag 0.000 0.000 0.500 1
Pb1 Pb 0.121 0.500 0.368 1
```

Summary:
DFT formation energy   0.08 eV/atom
DFT total energy   -10.05 eV per formula unit
Size of the total moment   0.0 μB per cell


Entry from Alexandria via LeMat-Bulk: a relaxed structure of SbTe2Au (PBE).

Structure (CIF):
```
data_SbTe2Au
_cell_length_a 7.352
_cell_length_b 4.268
_cell_length_c 7.553
_cell_angle_alpha 90.00
_cell_angle_beta 109.63
_cell_angle_gamma 90.00
_space_group_name_H-M_alt 'C 1 m 1'
_space_group_IT_number 8
_space_group_name_Hall 'C -2y'
loop_
_atom_site_label
_atom_site_type_symbol
_atom_site_fract_x
_atom_site_fract_y
_atom_site_fract_z
_atom_site_occupancy
Sb1 Sb 0.000 0.000 0.000 1
Te1 Te 0.025 0.500 0.586 1
Te2 Te 0.255 0.500 0.268 1
Au1 Au 0.258 0.000 0.783 1
```

Summary:
Uncorrected formation energy   -0.050 eV/atom
DFT total energy   -13.88 eV per formula unit
Size of the total moment   0.0 μB per cell


Entry from Alexandria via LeMat-Bulk: a relaxed structure of CeGa2Co2Cu (PBE).

Structure (CIF):
```
data_CeGa2Co2Cu
_cell_length_a 4.457
_cell_length_b 4.457
_cell_length_c 5.318
_cell_angle_alpha 90.00
_cell_angle_beta 90.00
_cell_angle_gamma 90.00
_space_group_name_H-M_alt 'P 4/m m m'
_space_group_IT_number 123
_space_group_name_Hall '-P 4 2'
loop_
_atom_site_label
_atom_site_type_symbol
_atom_site_fract_x
_atom_site_fract_y
_atom_site_fract_z
_atom_site_occupancy
Ce1 Ce 0.000 0.000 0.000 1
Ga1 Ga 0.000 0.500 0.500 1
Co1 Co 0.500 0.500 0.216 1
Cu1 Cu 0.000 0.000 0.500 1
```

Summary:
DFT formation energy   0.17 eV/atom
DFT total energy   -29.25 eV per formula unit
Size of the total moment   1.2 μB per cell


Entry from Alexandria via LeMat-Bulk: a relaxed structure of CaSbCl3 (PBE).

Structure (CIF):
```
data_CaSbCl3
_cell_length_a 5.364
_cell_length_b 5.364
_cell_length_c 5.364
_cell_angle_alpha 90.00
_cell_angle_beta 90.00
_cell_angle_gamma 90.00
_space_group_name_H-M_alt 'P m -3 m'
_space_group_IT_number 221
_space_group_name_Hall '-P 4 2 3'
loop_
_atom_site_label
_atom_site_type_symbol
_atom_site_fract_x
_atom_site_fract_y
_atom_site_fract_z
_atom_site_occupancy
Ca1 Ca 0.000 0.000 0.000 1
Sb1 Sb 0.500 0.500 0.500 1
Cl1 Cl 0.000 0.000 0.500 1
```

Summary:
Uncorrected formation energy   -1.084 eV/atom
DFT total energy   -17.09 eV per formula unit
Size of the total moment   2.0 μB per cell
Relative energy among the computed polymorphs   0 meV/atom


Entry from Alexandria via LeMat-Bulk: a relaxed structure of K2AgP (PBE).

Structure (CIF):
```
data_K2AgP
_cell_length_a 3.6307
_cell_length_b 3.6307
_cell_length_c 31.0100
_cell_angle_alpha 90.00
_cell_angle_beta 90.00
_cell_angle_gamma 120.00
_space_group_name_H-M_alt 'R -3 m'
_space_group_IT_number 166
_space_group_name_Hall '-R 3 2"'
loop_
_atom_site_label
_atom_site_type_symbol
_atom_site_fract_x
_atom_site_fract_y
_atom_site_fract_z
_atom_site_occupancy
K1 K 0.0000 0.0000 0.2438 1
Ag1 Ag 0.0000 0.0000 0.0000 1
P1 P 0.0000 0.0000 0.5000 1
```

Summary:
DFT formation energy   0.34 eV/atom
DFT total energy   -9.11 eV per formula unit
Size of the total moment   0.0 μB per cell